Below is crystalline YNiSn3 at its relaxed geometry, with properties calculated at the PBE-GGA level.

## Properties
Formation energy ... -93 meV/atom
Magnetization ... 0.00 μB per formula unit
DOS at the Fermi energy ... 3.8 states/eV/f.u.
Symmetry ... Pm-3m (221)

Cell and atoms, written as extended XYZ:
```
5
Lattice="-4.327 0.884 2.380 -1.352 -4.783 -0.682 2.149 -1.230 4.363" Properties=species:S:1:pos:R:3 pbc="T T T"
Y -1.765 -2.565 3.031
Ni 0.000 0.000 0.000
Sn -0.676 -2.391 -0.341
Sn 1.074 -0.615 2.182
Sn -2.164 0.442 1.190
```